12
Lattice="8.6990 -1.9907 0.0000 8.6990 1.9907 0.0000 -1.8729 0.0000 7.7676" Properties=species:S:1:pos:R:3 comment="Tb3UPa2P6 | Alexandria | PBE-GGA | optimized geometry" formation_enthalpy_0k_mev_per_atom=-1401 sg="No. 12" rho_g_cm3=8.41 pbc="T T T"
Tb 0.0000 0.0000 0.0000
Tb 4.5389 0.0000 5.1815
Tb 10.9861 0.0000 2.5860
U -0.9364 0.0000 3.8838
Pa 5.5061 0.0000 1.3136
Pa 10.0190 0.0000 6.4540
P 1.7732 0.0000 4.5465
P 2.7820 0.0000 0.6169
P 8.2121 0.0000 1.9756
P 7.3130 0.0000 5.7920
P 12.7430 0.0000 7.1506
P 13.7519 0.0000 3.2211

=====

4
Lattice="-2.0766 2.0766 4.1592 2.0766 -2.0766 4.1592 2.0766 2.0766 -4.1592" Properties=species:S:1:pos:R:3 comment="CrTcHg2 | Alexandria | PBE-GGA | optimized geometry" formation_enthalpy_0k_mev_per_atom=621 sg="No. 139" rho_g_cm3=12.76 e_above_lowest_polymorph_ev_per_atom=0.2930 pbc="T T T"
Cr 0.0000 0.0000 0.0000
Tc 0.0000 0.0000 4.1592
Hg 2.0766 0.0000 2.0796
Hg 0.0000 2.0766 2.0796

=====

20
Lattice="5.2429 -5.4820 0.0000 5.2429 5.4820 0.0000 -0.5833 0.0000 5.3578" Properties=species:S:1:pos:R:3 comment="ErTlGe2O6 | Alexandria | PBE-GGA | optimized geometry" formation_energy_uncorrected_ev_per_atom=-1.94 sg="No. 15" rho_g_cm3=6.61 pbc="T T T"
Er 4.8055 3.0642 4.0183
Er 5.0971 -3.0642 1.3394
Tl 5.0971 1.0155 1.3394
Tl 4.8055 -1.0155 4.0183
Ge 1.6760 0.9264 4.1270
Ge 1.9676 -0.9264 1.4481
Ge 7.9350 0.9264 3.9097
Ge 8.2266 -0.9264 1.2308
O 3.9446 3.4289 2.0949
O 1.6792 0.6647 0.5119
O 1.3876 -0.6647 3.1908
O 3.3498 1.4186 4.2546
O 6.2497 3.4289 0.5839
O 3.6415 -1.4186 1.5757
O 6.2612 1.4186 3.7821
O 3.6529 -3.4289 4.7738
O 6.5528 -1.4186 1.1032
O 8.5151 0.6647 2.1670
O 8.2234 -0.6647 4.8459
O 5.9581 -3.4289 3.2628

=====

5
Lattice="5.3246 -1.4170 0.0000 5.3246 1.4170 0.0000 -2.6814 0.0000 4.7722" Properties=species:S:1:pos:R:3 comment="P2RuSeN | Alexandria | PBE-GGA | optimized geometry" formation_energy_uncorrected_ev_per_atom=-0.04 sg="No. 8" rho_g_cm3=5.90 e_above_lowest_polymorph_ev_per_atom=0.0240 pbc="T T T"
P 0.0000 0.0000 0.0000
P 0.6366 0.0000 2.3674
Ru 2.8703 0.0000 2.9050
Se 8.3941 0.0000 0.7480
N 5.0928 0.0000 2.7427

=====

4
Lattice="-1.8343 1.9784 7.5946 1.8343 -1.9784 7.5946 1.8343 1.9784 -7.5946" Properties=species:S:1:pos:R:3 comment="ZrTe2Ir | Alexandria | PBE-GGA | optimized geometry" formation_energy_uncorrected_ev_per_atom=-0.43 sg="No. 44" rho_g_cm3=8.11 e_above_lowest_polymorph_ev_per_atom=0.2058 pbc="T T T"
Zr 0.0000 0.0000 0.0000
Te 0.0000 0.0000 6.1573
Te 0.0000 1.9784 2.4021
Ir 1.8343 0.0000 1.9903

=====

14
Lattice="6.4249 0.0000 0.0000 -3.2125 5.5642 0.0000 0.0000 0.0000 8.6481" Properties=species:S:1:pos:R:3 comment="Cs3BiSb2O8 | Alexandria | PBE-GGA | optimized geometry" formation_energy_uncorrected_ev_per_atom=-1.43 sg="No. 164" rho_g_cm3=5.26 pbc="T T T"
Cs 0.0000 0.0000 0.0000
Cs 0.0000 3.7094 6.2209
Cs 3.2125 1.8547 2.4272
Bi 0.0000 0.0000 4.3240
Sb 0.0000 3.7094 2.2729
Sb 3.2125 1.8547 6.3752
O 0.0000 1.8963 2.9280
O -1.5702 4.6160 2.9280
O 0.0000 3.7094 0.4008
O 1.6423 0.9482 5.7201
O 1.5702 4.6160 2.9280
O 3.2125 1.8547 8.2473
O 4.7827 0.9482 5.7201
O 3.2125 3.6678 5.7201

=====

4
Lattice="3.6455 0.0000 0.0000 0.0000 3.6455 0.0000 0.0000 0.0000 9.1481" Properties=species:S:1:pos:R:3 comment="Sr2ScNi | Alexandria | PBE-GGA | optimized geometry" formation_enthalpy_0k_mev_per_atom=282 sg="No. 123" rho_g_cm3=3.81 e_above_lowest_polymorph_ev_per_atom=0.2580 pbc="T T T"
Sr 0.0000 0.0000 1.7753
Sr 0.0000 0.0000 7.3727
Sc 1.8228 1.8228 4.5740
Ni 1.8228 1.8228 0.0000

=====

6
Lattice="2.6105 -2.5720 0.0000 2.6105 2.5720 0.0000 -0.3783 0.0000 10.1811" Properties=species:S:1:pos:R:3 comment="CeScAl | Alexandria | PBE-GGA | optimized geometry" formation_enthalpy_0k_mev_per_atom=-200 sg="No. 12" rho_g_cm3=5.15 e_above_lowest_polymorph_ev_per_atom=0.0107 pbc="T T T"
Ce 1.0642 0.0000 0.7979
Ce 3.7785 0.0000 9.3832
Sc 1.1164 0.0000 4.1551
Sc 3.7263 0.0000 6.0260
Al 1.1266 0.0000 7.4623
Al 3.7161 0.0000 2.7188

=====

5
Lattice="-2.1027 2.1027 4.9232 2.1027 -2.1027 4.9232 2.1027 2.1027 -4.9232" Properties=species:S:1:pos:R:3 comment="GdSi3Ir | Alexandria | PBE-GGA | optimized geometry" formation_energy_uncorrected_ev_per_atom=-0.81 sg="No. 107" rho_g_cm3=8.27 pbc="T T T"
Gd 0.0000 0.0000 0.0000
Si 2.1027 0.0000 2.6337
Si 0.0000 0.0000 4.1110
Si 0.0000 2.1027 2.6337
Ir 0.0000 0.0000 6.4527

=====

12
Lattice="5.5182 -3.5994 0.0000 5.5182 3.5994 0.0000 -0.3388 0.0000 5.0871" Properties=species:S:1:pos:R:3 comment="LiPa3N2O6 | Alexandria | PBE-GGA | optimized geometry" formation_energy_uncorrected_ev_per_atom=-2.48 sg="No. 12" rho_g_cm3=6.77 pbc="T T T"
Li 0.0000 0.0000 0.0000
Pa 2.7591 1.7997 0.0000
Pa 2.7591 -1.7997 0.0000
Pa 5.3488 0.0000 2.5435
N 3.4224 0.0000 3.8934
N 7.2752 0.0000 1.1937
O 1.7781 0.0000 0.7251
O 4.4298 1.5175 1.2912
O 6.2678 1.5175 3.7959
O 4.4298 -1.5175 1.2912
O 6.2678 -1.5175 3.7959
O 8.9195 0.0000 4.3620

=====

4
Lattice="0.0000 4.0585 4.0585 4.0585 0.0000 4.0585 4.0585 4.0585 0.0000" Properties=species:S:1:pos:R:3 comment="CaPmDyLu | Alexandria | PBE-GGA | optimized geometry" formation_enthalpy_0k_mev_per_atom=138 sg="No. 216" rho_g_cm3=6.49 pbc="T T T"
Ca 0.0000 0.0000 0.0000
Pm 6.0877 6.0877 6.0877
Dy 2.0292 2.0292 2.0292
Lu 4.0585 4.0585 4.0585

=====

4
Lattice="0.0000 3.8471 3.8471 3.8471 0.0000 3.8471 3.8471 3.8471 0.0000" Properties=species:S:1:pos:R:3 comment="PrGdMgCd | Alexandria | PBE-GGA | optimized geometry" formation_enthalpy_0k_mev_per_atom=-220 sg="No. 216" rho_g_cm3=6.34 pbc="T T T"
Pr 0.0000 0.0000 0.0000
Gd 3.8471 3.8471 3.8471
Mg 1.9236 1.9236 1.9236
Cd 5.7707 5.7707 5.7707

=====

Calculated volume list, top to bottom, in Å³/cell: 269, 72, 308, 72, 110, 309, 122, 137, 87, 202, 134, 114